No. 1
This record from Alexandria via LeMat-Bulk describes a geometry-optimized Na4TaS5 structure. The functional is PBE.

Its formation energy (no corrections) is -0.997 eV/atom.

It has space group I4 (No. 79), with a = 8.8105 Å, b = 8.8105 Å, c = 5.9292 Å, α = 90.00°, β = 90.00° and γ = 90.00°. The inequivalent atoms are Na at (0.0899, 0.3005, 0.0000), Ta at (0.0000, 0.0000, 0.4170), S at (0.0000, 0.0000, 0.0333) and S at (0.0801, 0.2545, 0.5104).

=====

No. 2
This record from Alexandria via LeMat-Bulk describes a geometry-optimized NaTa2S6 structure. The functional is PBE.

Its formation energy (no corrections) is -0.753 eV/atom.

It has space group C2/m (No. 12), with a = 11.6802 Å, b = 4.6940 Å, c = 9.1483 Å, α = 90.00°, β = 114.50° and γ = 90.00°. The inequivalent atoms are Na at (0.0000, 0.0000, 0.0000), Ta at (0.1749, 0.0000, 0.6218), S at (0.0044, 0.0000, 0.6858), S at (0.1717, 0.5000, 0.1300) and S at (0.1860, 0.5000, 0.5444).

=====

No. 3
This record from Alexandria via LeMat-Bulk describes a geometry-optimized NaTa4S8 structure. The functional is PBE.

Its formation energy (no corrections) is -0.962 eV/atom. The calculation puts the energy above the most stable polymorph in this dataset at 0.117 eV/atom.

It has space group F-43m (No. 216), with a = 10.2007 Å, b = 10.2007 Å, c = 10.2007 Å, α = 90.00°, β = 90.00° and γ = 90.00°. The inequivalent atoms are Na at (0.0000, 0.0000, 0.0000), Ta at (0.1105, 0.1105, 0.3895), S at (0.1289, 0.1289, 0.6289) and S at (0.1410, 0.1410, 0.1410).

=====

No. 4
This record from Alexandria via LeMat-Bulk describes a geometry-optimized Na2Tb2TaS6 structure. The functional is PBE.

Its formation energy (no corrections) is -1.528 eV/atom.

It has space group C2/m (No. 12), with a = 6.6900 Å, b = 11.4391 Å, c = 7.1629 Å, α = 90.00°, β = 108.30° and γ = 90.00°. The inequivalent atoms are Na at (0.0000, 0.1701, 0.0000), Tb at (0.0000, 0.3345, 0.5000), Ta at (0.0000, 0.0000, 0.5000), S at (0.2267, 0.1544, 0.7181) and S at (0.2308, 0.0000, 0.2818).

=====

No. 5
This record from Alexandria via LeMat-Bulk describes a geometry-optimized Na4Tb3TaS8 structure. The functional is PBE.

Its formation energy (no corrections) is -1.578 eV/atom.

It has space group R-3m (No. 166, hexagonal axes), with a = 7.7777 Å, b = 7.7777 Å, c = 20.1634 Å, α = 90.00°, β = 90.00° and γ = 120.00°. The inequivalent atoms are Na at (0.0000, 0.0000, 0.0000), Na at (0.0000, 0.5000, 0.0000), Tb at (0.0000, 0.5000, 0.5000), Ta at (0.0000, 0.0000, 0.5000), S at (0.0000, 0.0000, 0.2441) and S at (0.0204, 0.5102, 0.2409).

=====

No. 6
This record from Alexandria via LeMat-Bulk describes a geometry-optimized Na3TaTi3S8 structure. The functional is PBE.

Its formation energy (no corrections) is -1.296 eV/atom.

It has space group C2/m (No. 12), with a = 12.0303 Å, b = 6.9488 Å, c = 7.9821 Å, α = 90.00°, β = 120.19° and γ = 90.00°. The inequivalent atoms are Na at (0.0000, 0.0000, 0.0000), Na at (0.2500, 0.2500, 0.0000), Ta at (0.0000, 0.0000, 0.5000), Ti at (0.0000, 0.5000, 0.5000), Ti at (0.2500, 0.2500, 0.5000), S at (0.0137, 0.2526, 0.2882), S at (0.2370, 0.5000, 0.7110) and S at (0.2390, 0.0000, 0.7118).

=====

No. 7
This record from Alexandria via LeMat-Bulk describes a geometry-optimized Na2TaTi2S6 structure. The functional is PBE.

Its formation energy (no corrections) is -1.278 eV/atom.

It has space group C2/m (No. 12), with a = 5.9810 Å, b = 10.3666 Å, c = 7.2551 Å, α = 90.00°, β = 105.95° and γ = 90.00°. The inequivalent atoms are Na at (0.0000, 0.1661, 0.0000), Ta at (0.0000, 0.0000, 0.5000), Ti at (0.0000, 0.3334, 0.5000), S at (0.2332, 0.5000, 0.7109) and S at (0.2384, 0.1669, 0.7107).

=====

No. 8
This record from Alexandria via LeMat-Bulk describes a geometry-optimized NaTaTl2S4 structure. The functional is PBE.

Its formation energy (no corrections) is -0.821 eV/atom.

It has space group Pmn2_1 (No. 31), with a = 8.5890 Å, b = 9.3562 Å, c = 6.3082 Å, α = 90.00°, β = 90.00° and γ = 90.00°. The inequivalent atoms are Na at (0.0000, 0.1165, 0.0000), Ta at (0.0000, 0.8326, 0.4223), Tl at (0.2161, 0.3396, 0.5309), S at (0.0000, 0.0664, 0.5274), S at (0.0000, 0.8246, 0.0581) and S at (0.2227, 0.7118, 0.5150).

=====

No. 9
This record from Alexandria via LeMat-Bulk describes a geometry-optimized Na2U2TaS6 structure. The functional is PBE.

Its formation energy (no corrections) is -1.236 eV/atom.

It has space group C2/m (No. 12), with a = 6.4929 Å, b = 11.1472 Å, c = 7.3169 Å, α = 90.00°, β = 107.44° and γ = 90.00°. The inequivalent atoms are Na at (0.0000, 0.1711, 0.0000), U at (0.0000, 0.3355, 0.5000), Ta at (0.0000, 0.0000, 0.5000), S at (0.2311, 0.1567, 0.7210) and S at (0.2332, 0.0000, 0.2758).

=====

No. 10
This record from Alexandria via LeMat-Bulk describes a geometry-optimized Na3TaV2S6 structure. The functional is PBE.

Its formation energy (no corrections) is -1.032 eV/atom.

It has space group C2/m (No. 12), with a = 5.8994 Å, b = 10.4939 Å, c = 7.1221 Å, α = 90.00°, β = 106.15° and γ = 90.00°. The inequivalent atoms are Na at (0.0000, 0.0000, 0.0000), Na at (0.0000, 0.3282, 0.0000), Ta at (0.0000, 0.5000, 0.5000), V at (0.0000, 0.1331, 0.5000), S at (0.2395, 0.3273, 0.7005) and S at (0.2422, 0.0000, 0.7275).

=====

No. 11
This record from Alexandria via LeMat-Bulk describes a geometry-optimized NaTaV2S structure. The functional is PBE.

Its formation energy (no corrections) is 0.649 eV/atom.

It has space group P4/mmm (No. 123), with a = 4.3547 Å, b = 4.3547 Å, c = 4.6077 Å, α = 90.00°, β = 90.00° and γ = 90.00°. The inequivalent atoms are Na at (0.0000, 0.0000, 0.0000), Ta at (0.5000, 0.5000, 0.0000), V at (0.0000, 0.5000, 0.5000) and S at (0.0000, 0.0000, 0.5000).

=====

No. 12
This record from Alexandria via LeMat-Bulk describes a geometry-optimized Na3Y3TaS8 structure. The functional is PBE.

Its formation energy (no corrections) is -1.629 eV/atom.

It has space group R-3m (No. 166, hexagonal axes), with a = 7.7682 Å, b = 7.7682 Å, c = 20.3612 Å, α = 90.00°, β = 90.00° and γ = 120.00°. The inequivalent atoms are Na at (0.0000, 0.5000, 0.0000), Y at (0.0000, 0.5000, 0.5000), Ta at (0.0000, 0.0000, 0.5000), S at (0.0000, 0.0000, 0.2433) and S at (0.0257, 0.5129, 0.2381).

=====

No. 13
This record from Alexandria via LeMat-Bulk describes a geometry-optimized NaZrTaS2 structure. The functional is PBE.

Its formation energy (no corrections) is 0.816 eV/atom.

It has space group P4/mmm (No. 123), with a = 4.8939 Å, b = 4.8939 Å, c = 5.4271 Å, α = 90.00°, β = 90.00° and γ = 90.00°. The inequivalent atoms are Na at (0.0000, 0.0000, 0.0000), Zr at (0.0000, 0.0000, 0.5000), Ta at (0.5000, 0.5000, 0.0000) and S at (0.0000, 0.5000, 0.5000).

=====

No. 14
This record from Alexandria via LeMat-Bulk describes a geometry-optimized Na2ZrTa2S6 structure. The functional is PBE.

Its formation energy (no corrections) is -1.232 eV/atom.

It has space group C2/m (No. 12), with a = 6.1620 Å, b = 10.5546 Å, c = 7.2276 Å, α = 90.00°, β = 103.31° and γ = 90.00°. The inequivalent atoms are Na at (0.0000, 0.1723, 0.0000), Zr at (0.0000, 0.0000, 0.5000), Ta at (0.0000, 0.3620, 0.5000), S at (0.2320, 0.1757, 0.7045) and S at (0.2339, 0.5000, 0.7356).

=====

No. 15
This record from Alexandria via LeMat-Bulk describes a geometry-optimized NaTb5S8 structure. The functional is PBE.

Its formation energy (no corrections) is -1.989 eV/atom.

It has space group I-4 (No. 82), with a = 8.3779 Å, b = 8.3779 Å, c = 8.3663 Å, α = 90.00°, β = 90.00° and γ = 90.00°. The inequivalent atoms are Na at (0.0000, 0.0000, 0.0000), Tb at (0.0000, 0.5000, 0.7500), Tb at (0.1313, 0.2540, 0.3719), S at (0.0714, 0.1834, 0.6870) and S at (0.0744, 0.3260, 0.0525).

=====

No. 16
This record from Alexandria via LeMat-Bulk describes a geometry-optimized NaTb2S3 structure. The functional is PBE.

Its formation energy (no corrections) is -1.889 eV/atom.

It has space group P2_1/c (No. 14), with a = 5.5805 Å, b = 11.8298 Å, c = 7.9298 Å, α = 90.00°, β = 90.00° and γ = 90.00°. The inequivalent atoms are Na at (0.2495, 0.0800, 0.1187), Tb at (0.2499, 0.0843, 0.6249), Tb at (0.2503, 0.7457, 0.6235), S at (0.2497, 0.2498, 0.3752), S at (0.2501, 0.5845, 0.8780) and S at (0.2504, 0.5879, 0.3636).

=====

No. 17
This record from Alexandria via LeMat-Bulk describes a geometry-optimized NaTb4S5 structure. The functional is PBE.

Its formation energy (no corrections) is -1.951 eV/atom.

It has space group Immm (No. 71), with a = 3.9461 Å, b = 5.5468 Å, c = 19.8147 Å, α = 90.00°, β = 90.00° and γ = 90.00°. The inequivalent atoms are Na at (0.0000, 0.0000, 0.0000), Tb at (0.0000, 0.0000, 0.2037), Tb at (0.0000, 0.0000, 0.3995), S at (0.0000, 0.5000, 0.0000), S at (0.0000, 0.5000, 0.1985) and S at (0.0000, 0.5000, 0.3964).

=====

No. 18
This record from Alexandria via LeMat-Bulk describes a geometry-optimized NaTb4S6 structure. The functional is PBE.

Its formation energy (no corrections) is -1.937 eV/atom.

It has space group Cmcm (No. 63), with a = 3.9266 Å, b = 13.1185 Å, c = 20.5090 Å, α = 90.00°, β = 90.00° and γ = 90.00°. The inequivalent atoms are Na at (0.0000, 0.1535, 0.2500), Tb at (0.0000, 0.1000, 0.6380), Tb at (0.0000, 0.3684, 0.5442), S at (0.0000, 0.0000, 0.0000), S at (0.0000, 0.1914, 0.7500), S at (0.0000, 0.2738, 0.0797) and S at (0.0000, 0.4628, 0.6596).

=====

No. 19
This record from Alexandria via LeMat-Bulk describes a geometry-optimized NaTbS structure. The functional is PBE.

Its formation energy (no corrections) is -0.702 eV/atom.

It has space group Amm2 (No. 38), with a = 13.8341 Å, b = 3.7380 Å, c = 6.4792 Å, α = 90.00°, β = 90.00° and γ = 90.00°. The inequivalent atoms are Na at (0.1149, 0.0000, 0.0000), Tb at (0.3688, 0.0000, 0.3316), S at (0.0000, 0.0000, 0.3331) and S at (0.5000, 0.0000, 0.9983).

=====

No. 20
This record from Alexandria via LeMat-Bulk describes a geometry-optimized Na3Tb2ThS6 structure. The functional is PBE.

Its formation energy (no corrections) is -1.764 eV/atom.

It has space group C2/m (No. 12), with a = 17.7469 Å, b = 4.0020 Å, c = 8.1943 Å, α = 90.00°, β = 104.62° and γ = 90.00°. The inequivalent atoms are Na at (0.0000, 0.0000, 0.0000), Na at (0.1681, 0.5000, 0.3308), Tb at (0.1687, 0.5000, 0.8391), Th at (0.0000, 0.0000, 0.5000), S at (0.0048, 0.5000, 0.7472), S at (0.1630, 0.0000, 0.5962) and S at (0.1711, 0.0000, 0.0728).